Density functional theory data (GGA+U) for a relaxed CrAgIO2 crystal.

Structure (CIF):
```
data_CrAgIO2
_chemical_formula_sum 'Cr1 Ag1 I1 O2'
_symmetry_space_group_name_H-M 'P 1'
_symmetry_Int_Tables_number 1
_symmetry_space_group_name_Hall 'P 1'
_cell_length_a 4.065
_cell_length_b 4.065
_cell_length_c 6.626
_cell_angle_alpha 90.00
_cell_angle_beta 90.00
_cell_angle_gamma 90.00
loop_
_atom_site_label
_atom_site_type_symbol
_atom_site_fract_x
_atom_site_fract_y
_atom_site_fract_z
I1 I 0.000 0.000 0.500
Cr1 Cr 0.500 0.500 0.500
O1 O 0.500 0.000 0.000
Ag1 Ag 0.000 0.000 0.000
O2 O 0.000 0.500 0.000
```

Output
V in A^3/atom: 21.9
Crystal system: tetragonal
Offset from the most stable computed form in meV per atom: 872
VASP energy in eV per formula unit: -20.066